No. 1
Rb2ZnReF6 after structural relaxation. Source: the Alexandria database, functional PBE.

## Properties
As for the total energy: -47.6 eV per cell. As for the space-group type: No. 225. For the uncorrected formation energy, the calculation gives -2.07 eV/atom.

Cell: 6.6980 6.6980 6.6980 Å, 60.00 60.00 60.00°
Atoms (fractional coordinates):
Rb: 0.2500 0.2500 0.2500
Rb: 0.7500 0.7500 0.7500
Zn: 0.0000 0.0000 0.0000
Re: 0.5000 0.5000 0.5000
F: 0.2901 0.2901 0.7099
F: 0.2901 0.7099 0.2901
F: 0.2901 0.7099 0.7099
F: 0.7099 0.2901 0.2901
F: 0.7099 0.2901 0.7099
F: 0.7099 0.7099 0.2901

No. 2
LiSb2As2 after structural relaxation. Source: the Alexandria database, functional PBE.

## Properties
As for the total energy: -19.3 eV per cell. The energy relative to the lowest polymorph listed for this composition comes out at 31.1 meV per atom. As for the space-group type: No. 139. For the uncorrected formation energy, the calculation gives 0.03 eV/atom.

Cell: 5.9282 5.9282 5.9282 Å, 124.98 124.98 81.58°
Atoms (fractional coordinates):
Li: 0.0000 0.0000 0.0000
Sb: 0.3314 0.3314 0.0000
Sb: 0.6686 0.6686 0.0000
As: 0.2500 0.7500 0.5000
As: 0.7500 0.2500 0.5000

No. 3
NbAl4Ga after structural relaxation. Source: the Alexandria database, functional PBE.

## Properties
As for the total energy: -56.8 eV per cell. The energy relative to the lowest polymorph listed for this composition comes out at 122.6 meV per atom. As for the space-group type: No. 36. The formation energy from the elements comes out at -0.0571 eV per atom.

Cell: 7.3960 7.3960 5.8512 Å, 90.00 90.00 141.27°
Atoms (fractional coordinates):
Nb: 0.1596 0.8404 0.5000
Nb: 0.8404 0.1596 0.0000
Al: 0.0019 0.9981 0.2474
Al: 0.1787 0.8213 0.9975
Al: 0.3386 0.6614 0.7304
Al: 0.4846 0.5154 0.0042
Al: 0.5154 0.4846 0.5042
Al: 0.6614 0.3386 0.2304
Al: 0.8213 0.1787 0.4975
Al: 0.9981 0.0019 0.7474
Ga: 0.3365 0.6635 0.2690
Ga: 0.6635 0.3365 0.7690

Number 1: D(E_F) 0.00 states/eV/cell. Number 2: D(E_F) 1.75 states/eV/cell. Number 3: D(E_F) 5.75 states/eV/cell.